Entry 1:
# Hf2MnGeF | the Alexandria database | PBEsol | optimized geometry
# **M_tot**: 2.68 Bohr magnetons per cell
# **Symmetry**: P4/mmm (123)
# **Total DFT energy (no corrections)**: -7.801 eV per atom
data_Hf2MnGeF
_space_group_name_H-M_alt 'P 1'
_space_group_IT_number 1
_cell_length_a 4.186
_cell_length_b 4.186
_cell_length_c 4.793
_cell_angle_alpha 90.00
_cell_angle_beta 90.00
_cell_angle_gamma 90.00
loop_
_space_group_symop_operation_xyz
'x,y,z'
loop_
_atom_site_label
_atom_site_type_symbol
_atom_site_fract_x
_atom_site_fract_y
_atom_site_fract_z
Ge1 Ge 0.000 0.000 0.500
Mn1 Mn 0.500 0.500 0.500
Hf1 Hf 0.000 0.500 0.000
Hf2 Hf 0.500 0.000 0.000
F1 F 0.000 0.000 0.000

Entry 2:
# Hf2NiGeF | the Alexandria database | PBEsol | optimized geometry
# **M_tot**: 0.00 Bohr magnetons per cell
# **Symmetry**: P4/mmm (123)
# **Total DFT energy (no corrections)**: -7.039 eV per atom
data_Hf2NiGeF
_space_group_name_H-M_alt 'P 1'
_space_group_IT_number 1
_cell_length_a 4.198
_cell_length_b 4.198
_cell_length_c 4.592
_cell_angle_alpha 90.00
_cell_angle_beta 90.00
_cell_angle_gamma 90.00
loop_
_space_group_symop_operation_xyz
'x,y,z'
loop_
_atom_site_label
_atom_site_type_symbol
_atom_site_fract_x
_atom_site_fract_y
_atom_site_fract_z
Ni1 Ni 0.500 0.500 0.500
Ge1 Ge 0.000 0.000 0.500
Hf1 Hf 0.000 0.500 0.000
Hf2 Hf 0.500 0.000 0.000
F1 F 0.000 0.000 0.000

Entry 3:
# HgGe2F | the Alexandria database | PBEsol | optimized geometry
# **M_tot**: 0.00 Bohr magnetons per cell
# **Symmetry**: Fm-3m (225)
# **Total DFT energy (no corrections)**: -3.414 eV per atom
data_HgGe2F
_space_group_name_H-M_alt 'P 1'
_space_group_IT_number 1
_cell_length_a 4.548
_cell_length_b 4.548
_cell_length_c 4.548
_cell_angle_alpha 60.00
_cell_angle_beta 60.00
_cell_angle_gamma 60.00
loop_
_space_group_symop_operation_xyz
'x,y,z'
loop_
_atom_site_label
_atom_site_type_symbol
_atom_site_fract_x
_atom_site_fract_y
_atom_site_fract_z
Ge1 Ge 0.250 0.250 0.250
Ge2 Ge 0.750 0.750 0.750
Hg1 Hg 0.500 0.500 0.500
F1 F 0.000 0.000 0.000

Entry 4:
# LaHgGeF2 | the Alexandria database | PBEsol | optimized geometry
# **M_tot**: 0.07 Bohr magnetons per cell
# **Symmetry**: P4/mmm (123)
# **Total DFT energy (no corrections)**: -4.754 eV per atom
data_LaHgGeF2
_space_group_name_H-M_alt 'P 1'
_space_group_IT_number 1
_cell_length_a 4.406
_cell_length_b 4.406
_cell_length_c 6.693
_cell_angle_alpha 90.00
_cell_angle_beta 90.00
_cell_angle_gamma 90.00
loop_
_space_group_symop_operation_xyz
'x,y,z'
loop_
_atom_site_label
_atom_site_type_symbol
_atom_site_fract_x
_atom_site_fract_y
_atom_site_fract_z
Ge1 Ge 0.500 0.500 0.500
F1 F 0.000 0.500 0.000
F2 F 0.500 0.000 0.000
Hg1 Hg 0.000 0.000 0.500
La1 La 0.000 0.000 0.000

Entry 5:
# HgGe2OF | the Alexandria database | PBEsol | optimized geometry
# **M_tot**: 0.00 Bohr magnetons per cell
# **Symmetry**: P4/mmm (123)
# **Total DFT energy (no corrections)**: -3.081 eV per atom
data_HgGe2OF
_space_group_name_H-M_alt 'P 1'
_space_group_IT_number 1
_cell_length_a 4.138
_cell_length_b 5.136
_cell_length_c 5.136
_cell_angle_alpha 90.00
_cell_angle_beta 90.00
_cell_angle_gamma 90.00
loop_
_space_group_symop_operation_xyz
'x,y,z'
loop_
_atom_site_label
_atom_site_type_symbol
_atom_site_fract_x
_atom_site_fract_y
_atom_site_fract_z
Ge1 Ge 0.000 0.000 0.500
Ge2 Ge 0.000 0.500 0.000
Hg1 Hg 0.000 0.000 0.000
O1 O 0.500 0.000 0.000
F1 F 0.500 0.500 0.500

Entry 6:
# Sr2HgGeF | the Alexandria database | PBEsol | optimized geometry
# **M_tot**: 0.00 Bohr magnetons per cell
# **Symmetry**: P4/mmm (123)
# **Total DFT energy (no corrections)**: -3.430 eV per atom
data_Sr2HgGeF
_space_group_name_H-M_alt 'P 1'
_space_group_IT_number 1
_cell_length_a 4.963
_cell_length_b 4.963
_cell_length_c 5.015
_cell_angle_alpha 90.00
_cell_angle_beta 90.00
_cell_angle_gamma 90.00
loop_
_space_group_symop_operation_xyz
'x,y,z'
loop_
_atom_site_label
_atom_site_type_symbol
_atom_site_fract_x
_atom_site_fract_y
_atom_site_fract_z
Sr1 Sr 0.000 0.500 0.000
Sr2 Sr 0.500 0.000 0.000
Ge1 Ge 0.500 0.500 0.500
Hg1 Hg 0.000 0.000 0.500
F1 F 0.000 0.000 0.000

Entry 7:
# GeIN2F | the Alexandria database | PBEsol | optimized geometry
# **M_tot**: 0.00 Bohr magnetons per cell
# **Symmetry**: P4/mmm (123)
# **Total DFT energy (no corrections)**: -4.040 eV per atom
data_GeIN2F
_space_group_name_H-M_alt 'P 1'
_space_group_IT_number 1
_cell_length_a 4.161
_cell_length_b 4.161
_cell_length_c 4.294
_cell_angle_alpha 90.00
_cell_angle_beta 90.00
_cell_angle_gamma 90.00
loop_
_space_group_symop_operation_xyz
'x,y,z'
loop_
_atom_site_label
_atom_site_type_symbol
_atom_site_fract_x
_atom_site_fract_y
_atom_site_fract_z
I1 I 0.000 0.000 0.000
Ge1 Ge 0.500 0.500 0.500
N1 N 0.000 0.500 0.000
N2 N 0.500 0.000 0.000
F1 F 0.000 0.000 0.500

Entry 8:
# ScGeIF2 | the Alexandria database | PBEsol | optimized geometry
# **M_tot**: 0.00 Bohr magnetons per cell
# **Symmetry**: P4/mmm (123)
# **Total DFT energy (no corrections)**: -5.536 eV per atom
data_ScGeIF2
_space_group_name_H-M_alt 'P 1'
_space_group_IT_number 1
_cell_length_a 4.087
_cell_length_b 4.087
_cell_length_c 5.857
_cell_angle_alpha 90.00
_cell_angle_beta 90.00
_cell_angle_gamma 90.00
loop_
_space_group_symop_operation_xyz
'x,y,z'
loop_
_atom_site_label
_atom_site_type_symbol
_atom_site_fract_x
_atom_site_fract_y
_atom_site_fract_z
I1 I 0.500 0.500 0.500
Sc1 Sc 0.000 0.000 0.000
Ge1 Ge 0.000 0.000 0.500
F1 F 0.000 0.500 0.000
F2 F 0.500 0.000 0.000

no.,DOS(E_F) (states/eV/atom),ΔE_f (raw) (eV per atom)
1,0.789,-0.27
2,1.138,-0.23
3,0.384,-0.32
4,0.554,-1.81
5,0.531,0.44
6,0.243,-1.21
7,0.214,1.10
8,0.203,-2.10